(1)
# PBE-GGA Pa2MnNiS5, optimized geometry
data_Pa2MnNiS5
_chemical_formula_sum 'Pa4 Mn2 Ni2 S10'
_space_group_name_H-M_alt 'P 1'
_space_group_IT_number 1
_cell_length_a 8.004
_cell_length_b 8.004
_cell_length_c 11.281
_cell_angle_alpha 90.00
_cell_angle_beta 90.00
_cell_angle_gamma 153.23
loop_
_space_group_symop_operation_xyz
'x,y,z'
loop_
_atom_site_label
_atom_site_fract_x
_atom_site_fract_y
_atom_site_fract_z
Pa1 0.113 0.887 0.500
Pa2 0.121 0.879 0.854
Pa3 0.879 0.121 0.354
Pa4 0.887 0.113 0.000
Mn1 0.171 0.829 0.181
Mn2 0.829 0.171 0.681
Ni1 0.444 0.556 0.575
Ni2 0.556 0.444 0.075
S1 0.012 0.988 0.171
S2 0.306 0.694 0.836
S3 0.307 0.693 0.515
S4 0.335 0.665 0.175
S5 0.496 0.504 0.903
S6 0.504 0.496 0.403
S7 0.665 0.335 0.675
S8 0.693 0.307 0.015
S9 0.694 0.306 0.336
S10 0.988 0.012 0.671
# - Crystal system: orthorhombic
# - Symmetry: Cmc2_1, No. 36
# - Formation energy without anion corrections: -1.22 eV/atom

***

(2)
# PBE-GGA AlCdPt2IN, optimized geometry
data_AlCdPt2IN
_chemical_formula_sum 'Al1 Cd1 Pt2 I1 N1'
_space_group_name_H-M_alt 'P 1'
_space_group_IT_number 1
_cell_length_a 3.767
_cell_length_b 5.801
_cell_length_c 6.534
_cell_angle_alpha 65.07
_cell_angle_beta 83.68
_cell_angle_gamma 86.35
loop_
_space_group_symop_operation_xyz
'x,y,z'
loop_
_atom_site_label
_atom_site_fract_x
_atom_site_fract_y
_atom_site_fract_z
Al1 0.000 0.000 0.000
Cd1 0.080 0.153 0.510
Pt1 0.044 0.404 0.044
Pt2 0.539 0.845 0.842
I1 0.736 0.694 0.440
N1 0.544 0.435 0.030
# - Crystal system: triclinic
# - Symmetry: P1, No. 1
# - Polymorph energy (0 for the lowest one): 61 meV per atom
# - Formation energy without anion corrections: -0.01 eV/atom

***

(3)
# PBE-GGA Cd2Te2I, optimized geometry
data_Cd2Te2I
_chemical_formula_sum 'Cd4 Te4 I2'
_space_group_name_H-M_alt 'P 1'
_space_group_IT_number 1
_cell_length_a 8.652
_cell_length_b 8.652
_cell_length_c 4.032
_cell_angle_alpha 90.00
_cell_angle_beta 90.00
_cell_angle_gamma 90.00
loop_
_space_group_symop_operation_xyz
'x,y,z'
loop_
_atom_site_label
_atom_site_fract_x
_atom_site_fract_y
_atom_site_fract_z
Cd1 0.143 0.357 0.000
Cd2 0.357 0.857 0.000
Cd3 0.643 0.143 0.000
Cd4 0.857 0.643 0.000
Te1 0.162 0.662 0.500
Te2 0.338 0.162 0.500
Te3 0.662 0.838 0.500
Te4 0.838 0.338 0.500
I1 0.000 0.000 0.500
I2 0.500 0.500 0.500
# - Crystal system: tetragonal
# - Symmetry: P4/mbm, No. 127
# - Polymorph energy (0 for the lowest one): 182 meV per atom
# - Formation energy without anion corrections: 0.03 eV/atom

***

(4)
# PBE-GGA LiNpTcIr, optimized geometry
data_LiNpTcIr
_chemical_formula_sum 'Li1 Np1 Tc1 Ir1'
_space_group_name_H-M_alt 'P 1'
_space_group_IT_number 1
_cell_length_a 4.504
_cell_length_b 4.504
_cell_length_c 4.504
_cell_angle_alpha 60.00
_cell_angle_beta 60.00
_cell_angle_gamma 60.00
loop_
_space_group_symop_operation_xyz
'x,y,z'
loop_
_atom_site_label
_atom_site_fract_x
_atom_site_fract_y
_atom_site_fract_z
Li1 0.000 0.000 0.000
Np1 0.500 0.500 0.500
Tc1 0.250 0.250 0.250
Ir1 0.750 0.750 0.750
# - Crystal system: cubic
# - Symmetry: F-43m, No. 216
# - Energy: -34.3 eV for the cell shown

***

(5)
# PBE-GGA TbAl4Au4, optimized geometry
data_TbAl4Au4
_chemical_formula_sum 'Tb2 Al8 Au8'
_space_group_name_H-M_alt 'P 1'
_space_group_IT_number 1
_cell_length_a 6.234
_cell_length_b 6.234
_cell_length_c 8.841
_cell_angle_alpha 90.00
_cell_angle_beta 90.00
_cell_angle_gamma 90.00
loop_
_space_group_symop_operation_xyz
'x,y,z'
loop_
_atom_site_label
_atom_site_fract_x
_atom_site_fract_y
_atom_site_fract_z
Tb1 0.250 0.750 0.250
Tb2 0.750 0.250 0.750
Al1 0.028 0.250 0.156
Al2 0.250 0.028 0.656
Al3 0.250 0.472 0.656
Al4 0.472 0.250 0.156
Al5 0.528 0.750 0.844
Al6 0.750 0.528 0.344
Al7 0.750 0.972 0.344
Al8 0.972 0.750 0.844
Au1 0.021 0.250 0.450
Au2 0.250 0.021 0.950
Au3 0.250 0.479 0.950
Au4 0.479 0.250 0.450
Au5 0.521 0.750 0.550
Au6 0.750 0.521 0.050
Au7 0.750 0.979 0.050
Au8 0.979 0.750 0.550
# - Crystal system: tetragonal
# - Symmetry: P4_2/nmc, No. 137
# - Energy: -74.6 eV for the cell shown

***

(6)
# PBE-GGA Ca5Pt, optimized geometry
data_Ca5Pt
_chemical_formula_sum 'Ca5 Pt1'
_space_group_name_H-M_alt 'P 1'
_space_group_IT_number 1
_cell_length_a 5.686
_cell_length_b 8.328
_cell_length_c 8.328
_cell_angle_alpha 29.99
_cell_angle_beta 90.00
_cell_angle_gamma 90.00
loop_
_space_group_symop_operation_xyz
'x,y,z'
loop_
_atom_site_label
_atom_site_fract_x
_atom_site_fract_y
_atom_site_fract_z
Ca1 0.000 0.000 0.000
Ca2 0.000 0.256 0.256
Ca3 0.500 0.128 0.128
Ca4 0.500 0.462 0.462
Ca5 0.500 0.793 0.793
Pt1 0.000 0.628 0.628
# - Crystal system: orthorhombic
# - Symmetry: Amm2, No. 38
# - Energy: -17.3 eV for the cell shown

***

(7)
# PBE-GGA Na2BeW2, optimized geometry
data_Na2BeW2
_chemical_formula_sum 'Na2 Be1 W2'
_space_group_name_H-M_alt 'P 1'
_space_group_IT_number 1
_cell_length_a 9.488
_cell_length_b 9.488
_cell_length_c 9.488
_cell_angle_alpha 158.32
_cell_angle_beta 158.32
_cell_angle_gamma 30.85
loop_
_space_group_symop_operation_xyz
'x,y,z'
loop_
_atom_site_label
_atom_site_fract_x
_atom_site_fract_y
_atom_site_fract_z
Na1 0.097 0.097 0.000
Na2 0.903 0.903 0.000
Be1 0.500 0.500 0.000
W1 0.250 0.750 0.500
W2 0.750 0.250 0.500
# - Crystal system: tetragonal
# - Symmetry: I4/mmm, No. 139
# - Polymorph energy (0 for the lowest one): 0 meV per atom

***

(8)
# PBE-GGA Ba2ZrOs, optimized geometry
data_Ba2ZrOs
_chemical_formula_sum 'Ba2 Zr1 Os1'
_space_group_name_H-M_alt 'P 1'
_space_group_IT_number 1
_cell_length_a 3.697
_cell_length_b 9.882
_cell_length_c 9.882
_cell_angle_alpha 23.34
_cell_angle_beta 90.00
_cell_angle_gamma 90.00
loop_
_space_group_symop_operation_xyz
'x,y,z'
loop_
_atom_site_label
_atom_site_fract_x
_atom_site_fract_y
_atom_site_fract_z
Ba1 0.000 0.000 0.000
Ba2 0.500 0.298 0.298
Zr1 0.500 0.639 0.639
Os1 0.000 0.160 0.160
# - Crystal system: orthorhombic
# - Symmetry: Amm2, No. 38
# - Polymorph energy (0 for the lowest one): 18 meV per atom

***

The evaluated DOS(E_F) for the records listed, in turn: 11.81, 1.47, 6.41, 6.70, 6.81, 6.87, 5.37, 1.82 states/eV per cell.